Record 1
! GGA-PBE SrSc, optimized geometry; values from VASP
&SYSTEM
  ibrav = 0, nat = 2, ntyp = 2
/
ATOMIC_SPECIES
Sc 44.96 Sc.upf
Sr 87.62 Sr.upf
CELL_PARAMETERS angstrom
6.428 -0.001 -0.001
5.377 3.524 -0.001
5.377 1.604 3.137
ATOMIC_POSITIONS crystal
Sc 0.000 0.000 0.000
Sr 0.500 0.500 0.500
! space-group type = R-3m (166)
! volume = 35.55 A^3/atom
! M_tot = 1.0 μB/f.u.
! energy relative to the elements = 0.422 eV/atom

---

Record 2
! GGA-PBE NdHoCd2Hg4, optimized geometry; values from VASP
&SYSTEM
  ibrav = 0, nat = 8, ntyp = 4
/
ATOMIC_SPECIES
Hg 200.59 Hg.upf
Cd 112.41 Cd.upf
Nd 144.24 Nd.upf
Ho 164.93 Ho.upf
CELL_PARAMETERS angstrom
5.131 0.000 0.000
2.566 4.444 0.000
2.566 1.481 8.427
ATOMIC_POSITIONS crystal
Hg 0.872 0.872 0.383
Hg 0.622 0.622 0.134
Hg 0.378 0.378 0.866
Hg 0.128 0.128 0.617
Cd 0.250 0.250 0.249
Cd 0.750 0.750 0.751
Nd 0.000 0.000 0.000
Ho 0.500 0.500 0.500
! space-group type = R-3m (166)
! volume = 24.02 A^3/atom
! M_tot = 0.0 μB/f.u.
! energy relative to the elements = -0.384 eV/atom

---

Record 3
! GGA-PBE RbTcAg2Se, optimized geometry; values from VASP
&SYSTEM
  ibrav = 0, nat = 5, ntyp = 4
/
ATOMIC_SPECIES
Ag 107.87 Ag.upf
Se 78.96 Se.upf
Rb 85.47 Rb.upf
Tc 98.00 Tc.upf
CELL_PARAMETERS angstrom
5.404 0.000 0.000
0.000 4.681 0.000
0.000 0.000 5.404
ATOMIC_POSITIONS crystal
Ag 0.000 0.000 0.500
Ag 0.500 0.000 0.000
Se 0.000 0.500 0.000
Rb 0.500 0.500 0.500
Tc 0.000 0.000 0.000
! E_form (uncorrected) = 0.2430 eV/atom
! space-group type = P4/mmm (123)
! volume = 27.34 A^3/atom
! M_tot = 0.8 μB/f.u.

---

Record 4
! GGA-PBE TaAsPCl2, optimized geometry; values from VASP
&SYSTEM
  ibrav = 0, nat = 5, ntyp = 4
/
ATOMIC_SPECIES
Cl 35.45 Cl.upf
Ta 180.95 Ta.upf
As 74.92 As.upf
P 30.97 P.upf
CELL_PARAMETERS angstrom
4.746 0.000 0.000
0.000 4.746 0.000
0.000 0.000 5.112
ATOMIC_POSITIONS crystal
Cl 0.000 0.500 0.000
Cl 0.500 0.000 0.000
Ta 0.000 0.000 0.000
As 0.500 0.500 0.500
P 0.000 0.000 0.500
! E_form (uncorrected) = 0.1658 eV/atom
! space-group type = P4/mmm (123)
! volume = 23.03 A^3/atom
! M_tot = 2.1 μB/f.u.

---

Record 5
! GGA-PBE Pr7As5Se, optimized geometry; values from VASP
&SYSTEM
  ibrav = 0, nat = 26, ntyp = 3
/
ATOMIC_SPECIES
As 74.92 As.upf
Pr 140.91 Pr.upf
Se 78.96 Se.upf
CELL_PARAMETERS angstrom
4.265 0.000 0.000
-2.133 7.094 0.006
0.000 -0.040 25.151
ATOMIC_POSITIONS crystal
As 0.274 0.548 0.075
As 0.273 0.547 0.426
As 0.000 0.000 0.500
As 0.546 0.093 0.354
As 0.454 0.908 0.646
As 0.454 0.908 0.854
As 0.727 0.454 0.926
As 0.547 0.094 0.146
As 0.727 0.454 0.574
As 0.000 0.001 0.000
Pr 0.821 0.641 0.676
Pr 0.180 0.360 0.177
Pr 0.454 0.909 0.250
Pr 0.087 0.175 0.895
Pr 0.363 0.726 0.964
Pr 0.913 0.827 0.105
Pr 0.363 0.725 0.536
Pr 0.546 0.092 0.750
Pr 0.638 0.275 0.464
Pr 0.913 0.826 0.395
Pr 0.638 0.276 0.036
Pr 0.087 0.175 0.605
Pr 0.180 0.360 0.324
Pr 0.821 0.641 0.823
Se 0.202 0.404 0.750
Se 0.799 0.598 0.251
! E_form (uncorrected) = -1.4108 eV/atom
! space-group type = C2/m (12)
! volume = 29.27 A^3/atom
! M_tot = 0.3 μB/f.u.

---

Record 6
! GGA-PBE TbZn2Cu, optimized geometry; values from VASP
&SYSTEM
  ibrav = 0, nat = 4, ntyp = 3
/
ATOMIC_SPECIES
Tb 158.93 Tb.upf
Cu 63.55 Cu.upf
Zn 65.41 Zn.upf
CELL_PARAMETERS angstrom
3.193 0.000 0.000
0.000 3.193 0.000
0.000 0.000 6.934
ATOMIC_POSITIONS crystal
Tb 0.500 0.500 0.500
Cu 0.500 0.500 0.000
Zn 0.000 0.000 0.805
Zn 0.000 0.000 0.195
! space-group type = P4/mmm (123)
! volume = 17.67 A^3/atom
! M_tot = 0.0 μB/f.u.
! energy relative to the elements = -0.149 eV/atom

---

Record 7
! GGA-PBE Mg2BeMoCl, optimized geometry; values from VASP
&SYSTEM
  ibrav = 0, nat = 5, ntyp = 4
/
ATOMIC_SPECIES
Mg 24.30 Mg.upf
Mo 95.94 Mo.upf
Cl 35.45 Cl.upf
Be 9.01 Be.upf
CELL_PARAMETERS angstrom
-3.736 -2.026 1.895
2.205 -3.909 0.169
1.573 1.071 4.246
ATOMIC_POSITIONS crystal
Mg 0.500 0.000 0.000
Mg 0.000 0.000 0.500
Mo 0.000 0.500 0.000
Cl 0.000 0.000 0.000
Be 0.500 0.500 0.500
! E_form (uncorrected) = 0.9159 eV/atom
! space-group type = P4/mmm (123)
! volume = 19.45 A^3/atom
! M_tot = 1.0 μB/f.u.

---

Record 8
! GGA-PBE Ca, optimized geometry; values from VASP
&SYSTEM
  ibrav = 0, nat = 1, ntyp = 1
/
ATOMIC_SPECIES
Ca 40.08 Ca.upf
CELL_PARAMETERS angstrom
-2.550 0.726 -2.706
-1.597 -2.121 2.703
1.210 3.261 1.503
ATOMIC_POSITIONS crystal
Ca 0.000 0.000 0.000
! space-group type = Im-3m (229)
! volume = 41.87 A^3/atom
! M_tot = 0.0 μB/f.u.
! energy relative to the elements = 0.019 eV/atom

---

Record 9
! GGA-PBE KScSi2, optimized geometry; values from VASP
&SYSTEM
  ibrav = 0, nat = 4, ntyp = 3
/
ATOMIC_SPECIES
Si 28.09 Si.upf
K 39.10 K.upf
Sc 44.96 Sc.upf
CELL_PARAMETERS angstrom
-3.145 -1.212 -1.360
-0.071 -2.630 2.507
-3.640 4.390 4.503
ATOMIC_POSITIONS crystal
Si 0.000 0.000 0.911
Si 0.000 0.000 0.589
K 0.500 0.500 0.250
Sc 0.500 0.500 0.750
! E_form (uncorrected) = -0.2491 eV/atom
! space-group type = P4/mmm (123)
! volume = 24.00 A^3/atom
! M_tot = 0.0 μB/f.u.

---

Record 10
! GGA-PBE Gd3Y13O24, optimized geometry; values from VASP
&SYSTEM
  ibrav = 0, nat = 40, ntyp = 3
/
ATOMIC_SPECIES
O 16.00 O.upf
Y 88.91 Y.upf
Gd 157.25 Gd.upf
CELL_PARAMETERS angstrom
9.297 0.001 0.001
3.101 8.765 0.001
6.200 4.384 7.584
ATOMIC_POSITIONS crystal
O 0.031 0.729 0.761
O 0.457 0.239 0.782
O 0.772 0.466 0.520
O 0.966 0.273 0.741
O 0.043 0.260 0.978
O 0.727 0.034 0.259
O 0.740 0.957 0.022
O 0.227 0.531 0.979
O 0.959 0.739 0.523
O 0.534 0.228 0.480
O 0.228 0.988 0.794
O 0.771 0.011 0.708
O 0.012 0.772 0.206
O 0.989 0.229 0.292
O 0.469 0.773 0.021
O 0.236 0.460 0.281
O 0.487 0.728 0.490
O 0.761 0.543 0.218
O 0.732 0.489 0.989
O 0.271 0.969 0.239
O 0.272 0.513 0.510
O 0.511 0.268 0.011
O 0.540 0.764 0.719
O 0.261 0.041 0.477
Y 0.250 0.249 0.033
Y 0.966 0.034 0.000
Y 0.218 0.718 0.282
Y 0.500 0.998 0.249
Y 0.002 0.500 0.751
Y 0.282 0.782 0.718
Y 0.784 0.283 0.217
Y 0.533 0.467 0.500
Y 0.717 0.216 0.783
Y 0.033 0.967 0.500
Y 0.999 0.501 0.249
Y 0.751 0.750 0.967
Y 0.499 0.001 0.751
Gd 0.468 0.532 0.000
Gd 0.250 0.250 0.532
Gd 0.750 0.750 0.468
! E_form (uncorrected) = -3.5376 eV/atom
! space-group type = C2 (5)
! volume = 15.45 A^3/atom
! M_tot = 20.9 μB/f.u.

---

Record 11
! GGA-PBE Zn4Cu8Au, optimized geometry; values from VASP
&SYSTEM
  ibrav = 0, nat = 13, ntyp = 3
/
ATOMIC_SPECIES
Au 196.97 Au.upf
Cu 63.55 Cu.upf
Zn 65.41 Zn.upf
CELL_PARAMETERS angstrom
-1.275 -0.146 3.963
-0.913 -2.539 -0.387
13.831 -5.620 4.244
ATOMIC_POSITIONS crystal
Au 0.000 0.000 0.336
Cu 0.500 0.500 0.740
Cu 0.000 0.500 0.194
Cu 0.500 0.500 0.031
Cu 0.000 0.000 0.782
Cu 0.000 0.000 0.501
Cu 0.000 0.500 0.922
Cu 0.500 0.000 0.178
Cu 0.500 0.000 0.594
Zn 0.000 0.500 0.642
Zn 0.500 0.500 0.438
Zn 0.000 0.000 0.061
Zn 0.500 0.000 0.884
! space-group type = Pmm2 (25)
! volume = 13.56 A^3/atom
! M_tot = 0.0 μB/f.u.
! energy relative to the elements = -0.026 eV/atom

---

Record 12
! GGA-PBE In2H2I5, optimized geometry; values from VASP
&SYSTEM
  ibrav = 0, nat = 9, ntyp = 3
/
ATOMIC_SPECIES
In 114.82 In.upf
I 126.90 I.upf
H 1.01 H.upf
CELL_PARAMETERS angstrom
-5.762 5.926 -0.569
-2.956 -7.658 -1.118
-1.811 -0.634 6.433
ATOMIC_POSITIONS crystal
In 0.215 0.785 0.000
In 0.785 0.215 0.000
I 0.000 0.000 0.000
I 0.822 0.546 0.716
I 0.546 0.822 0.716
I 0.454 0.178 0.284
I 0.178 0.454 0.284
H 0.321 0.321 0.261
H 0.679 0.679 0.739
! energy = -2.337 eV per atom
! space-group type = C2/m (12)
! volume = 46.61 A^3/atom
! M_tot = 0.0 μB/f.u.

---

Record 13
! GGA-PBE CeAs3Ru3, optimized geometry; values from VASP
&SYSTEM
  ibrav = 0, nat = 14, ntyp = 3
/
ATOMIC_SPECIES
Ru 101.07 Ru.upf
As 74.92 As.upf
Ce 140.12 Ce.upf
CELL_PARAMETERS angstrom
-0.451 -4.081 5.303
5.469 2.838 2.649
-3.856 4.502 3.137
ATOMIC_POSITIONS crystal
Ru 0.000 0.750 0.500
Ru 0.250 0.500 0.000
Ru 0.750 0.500 0.000
Ru 0.500 0.000 0.750
Ru 0.500 0.000 0.250
Ru 0.000 0.250 0.500
As 0.500 0.750 0.000
As 0.000 0.500 0.750
As 0.250 0.000 0.500
As 0.750 0.000 0.500
As 0.000 0.500 0.250
As 0.500 0.250 0.000
Ce 0.000 0.000 0.000
Ce 0.500 0.500 0.500
! space-group type = Pm-3n (223)
! volume = 21.55 A^3/atom
! M_tot = 1.5 μB/f.u.
! energy relative to the elements = -0.089 eV/atom

---

Record 14
! GGA-PBE SbPPtCl2, optimized geometry; values from VASP
&SYSTEM
  ibrav = 0, nat = 5, ntyp = 4
/
ATOMIC_SPECIES
P 30.97 P.upf
Pt 195.08 Pt.upf
Cl 35.45 Cl.upf
Sb 121.76 Sb.upf
CELL_PARAMETERS angstrom
4.828 0.000 0.000
0.000 4.828 0.000
0.000 0.000 4.799
ATOMIC_POSITIONS crystal
P 0.000 0.000 0.500
Pt 0.000 0.000 0.000
Cl 0.500 0.000 0.000
Cl 0.000 0.500 0.000
Sb 0.500 0.500 0.500
! E_form (uncorrected) = 0.2641 eV/atom
! space-group type = P4/mmm (123)
! volume = 22.38 A^3/atom
! M_tot = 0.0 μB/f.u.

---

Record 15
! GGA-PBE KRb5Na3, optimized geometry; values from VASP
&SYSTEM
  ibrav = 0, nat = 18, ntyp = 3
/
ATOMIC_SPECIES
Rb 85.47 Rb.upf
Na 22.99 Na.upf
K 39.10 K.upf
CELL_PARAMETERS angstrom
9.007 0.000 0.000
0.000 12.585 0.000
0.000 -6.292 10.896
ATOMIC_POSITIONS crystal
Rb 0.250 0.000 0.673
Rb 0.250 0.673 0.000
Rb 0.500 0.333 0.667
Rb 0.750 0.327 0.000
Rb 0.250 0.327 0.327
Rb 0.750 0.673 0.673
Rb 0.500 0.667 0.333
Rb 0.000 0.667 0.333
Rb 0.750 0.000 0.327
Rb 0.000 0.333 0.667
Na 0.750 0.000 0.665
Na 0.750 0.665 0.000
Na 0.750 0.335 0.335
Na 0.250 0.335 0.000
Na 0.250 0.000 0.335
Na 0.250 0.665 0.665
K 0.000 0.000 0.000
K 0.500 0.000 0.000
! space-group type = P6_3/mcm (193)
! volume = 68.61 A^3/atom
! M_tot = 0.0 μB/f.u.
! energy relative to the elements = 0.032 eV/atom

---

Record 16
! GGA-PBE Y2Ga6Pd, optimized geometry; values from VASP
&SYSTEM
  ibrav = 0, nat = 9, ntyp = 3
/
ATOMIC_SPECIES
Ga 69.72 Ga.upf
Y 88.91 Y.upf
Pd 106.42 Pd.upf
CELL_PARAMETERS angstrom
5.748 -0.032 -0.019
0.030 5.851 0.007
0.030 2.921 5.069
ATOMIC_POSITIONS crystal
Ga 0.323 0.354 0.823
Ga 0.323 0.823 0.823
Ga 0.677 0.177 0.646
Ga 0.677 0.646 0.177
Ga 0.677 0.177 0.177
Ga 0.323 0.823 0.354
Y 0.855 0.667 0.667
Y 0.145 0.333 0.333
Pd 0.000 0.000 0.000
! space-group type = P-3m1 (164)
! volume = 18.93 A^3/atom
! M_tot = 0.0 μB/f.u.
! energy relative to the elements = -0.605 eV/atom

---

Record 17
! GGA-PBE KRhSe2, optimized geometry; values from VASP
&SYSTEM
  ibrav = 0, nat = 32, ntyp = 3
/
ATOMIC_SPECIES
Se 78.96 Se.upf
K 39.10 K.upf
Rh 102.91 Rh.upf
CELL_PARAMETERS angstrom
18.263 0.000 1.236
2.424 4.952 -4.540
-2.424 4.952 4.540
ATOMIC_POSITIONS crystal
Se 0.258 0.317 0.324
Se 0.413 0.451 0.717
Se 0.587 0.549 0.283
Se 0.750 0.661 0.161
Se 0.552 0.083 0.367
Se 0.948 0.867 0.583
Se 0.758 0.176 0.183
Se 0.742 0.683 0.676
Se 0.250 0.819 0.319
Se 0.087 0.217 0.951
Se 0.750 0.181 0.681
Se 0.913 0.783 0.049
Se 0.242 0.824 0.817
Se 0.250 0.339 0.839
Se 0.052 0.133 0.417
Se 0.448 0.917 0.633
K 0.888 0.351 0.535
K 0.612 0.035 0.851
K 0.096 0.719 0.972
K 0.596 0.528 0.781
K 0.904 0.281 0.028
K 0.388 0.965 0.149
K 0.112 0.649 0.465
K 0.404 0.472 0.219
Rh 0.334 0.803 0.641
Rh 0.166 0.141 0.303
Rh 0.162 0.149 0.706
Rh 0.834 0.859 0.697
Rh 0.662 0.794 0.351
Rh 0.338 0.206 0.649
Rh 0.666 0.197 0.359
Rh 0.838 0.851 0.294
! E_form (uncorrected) = -0.5643 eV/atom
! space-group type = C2/c (15)
! volume = 26.59 A^3/atom
! M_tot = 0.0 μB/f.u.

---

Record 18
! GGA-PBE V6Ga3B, optimized geometry; values from VASP
&SYSTEM
  ibrav = 0, nat = 20, ntyp = 3
/
ATOMIC_SPECIES
Ga 69.72 Ga.upf
V 50.94 V.upf
B 10.81 B.upf
CELL_PARAMETERS angstrom
6.489 0.783 0.801
0.642 6.504 0.801
0.642 0.656 6.521
ATOMIC_POSITIONS crystal
Ga 0.481 0.140 0.140
Ga 0.860 0.519 0.860
Ga 0.140 0.140 0.481
Ga 0.140 0.481 0.140
Ga 0.519 0.860 0.860
Ga 0.860 0.860 0.519
V 0.471 0.471 0.822
V 0.216 0.216 0.849
V 0.178 0.529 0.529
V 0.822 0.471 0.471
V 0.849 0.216 0.216
V 0.784 0.784 0.151
V 0.216 0.849 0.216
V 0.151 0.784 0.784
V 0.529 0.529 0.178
V 0.784 0.151 0.784
V 0.529 0.178 0.529
V 0.471 0.822 0.471
B 0.000 0.000 0.000
B 0.500 0.500 0.500
! space-group type = R-3m (166)
! volume = 13.30 A^3/atom
! M_tot = 0.0 μB/f.u.
! energy relative to the elements = -0.168 eV/atom

---

Record 19
! GGA-PBE CaGaHgBi, optimized geometry; values from VASP
&SYSTEM
  ibrav = 0, nat = 4, ntyp = 4
/
ATOMIC_SPECIES
Ga 69.72 Ga.upf
Ca 40.08 Ca.upf
Bi 208.98 Bi.upf
Hg 200.59 Hg.upf
CELL_PARAMETERS angstrom
5.412 0.000 0.000
2.706 4.687 0.000
2.706 1.562 4.419
ATOMIC_POSITIONS crystal
Ga 0.750 0.750 0.750
Ca 0.250 0.250 0.250
Bi 0.500 0.500 0.500
Hg 0.000 0.000 0.000
! space-group type = F-43m (216)
! volume = 28.02 A^3/atom
! M_tot = 0.0 μB/f.u.
! energy relative to the elements = -0.326 eV/atom

---

Record 20
! GGA-PBE Pr2PuUN6, optimized geometry; values from VASP
&SYSTEM
  ibrav = 0, nat = 20, ntyp = 4
/
ATOMIC_SPECIES
Pu 244.00 Pu.upf
Pr 140.91 Pr.upf
N 14.01 N.upf
U 238.03 U.upf
CELL_PARAMETERS angstrom
5.880 0.000 -0.060
0.000 6.036 0.000
-0.033 0.000 8.430
ATOMIC_POSITIONS crystal
Pu 0.000 0.500 0.000
Pu 0.500 0.000 0.500
Pr 0.989 0.049 0.752
Pr 0.489 0.451 0.252
Pr 0.011 0.951 0.248
Pr 0.511 0.549 0.748
N 0.900 0.533 0.258
N 0.284 0.701 0.449
N 0.216 0.201 0.051
N 0.771 0.807 0.554
N 0.229 0.193 0.446
N 0.100 0.467 0.742
N 0.784 0.799 0.949
N 0.271 0.693 0.054
N 0.729 0.307 0.946
N 0.600 0.033 0.242
N 0.400 0.967 0.758
N 0.716 0.299 0.551
U 0.500 0.000 0.000
U 0.000 0.500 0.500
! E_form (uncorrected) = -1.2368 eV/atom
! space-group type = P2_1/c (14)
! volume = 14.96 A^3/atom
! M_tot = 2.0 μB/f.u.

---

Record 21
! GGA-PBE CaNdGa2, optimized geometry; values from VASP
&SYSTEM
  ibrav = 0, nat = 4, ntyp = 3
/
ATOMIC_SPECIES
Ga 69.72 Ga.upf
Nd 144.24 Nd.upf
Ca 40.08 Ca.upf
CELL_PARAMETERS angstrom
3.766 0.000 0.000
1.883 3.261 0.000
1.883 1.087 9.060
ATOMIC_POSITIONS crystal
Ga 0.750 0.750 0.750
Ga 0.250 0.250 0.250
Nd 0.500 0.500 0.500
Ca 0.000 0.000 0.000
! space-group type = R-3m (166)
! volume = 27.82 A^3/atom
! M_tot = 0.0 μB/f.u.
! energy relative to the elements = -0.273 eV/atom